Entry 1:
HCl: optimized geometry, PBE-GGA.

Summary:
Space-group type   C2/m, No. 12
Total magnetic moment   0.00 Bohr magnetons per cell
Raw total energy   -2.87 eV/atom
D(E_F)   0.00 states/eV per cell

Cell: 7.1077 7.1077 4.1868 Å, 90.08 90.08 24.14°
With the nearest neighbours (Å) after each atom.
Sites, in units of the cell vectors:
H: 0.1315 0.1315 0.1272  2 Cl 1.57
H: 0.8685 0.8685 0.8728  2 Cl 1.57
Cl: 0.3691 0.3691 0.7540  2 H 1.57
Cl: 0.6309 0.6309 0.2460  2 H 1.57

Entry 2:
KMgCrTe3: optimized geometry, PBE-GGA.

Summary:
Space-group type   P2_1/m, No. 11
Total magnetic moment   5.99 Bohr magnetons per cell
Uncorrected formation energy   -367 kJ/mol of formula units

Cell: 9.0045 4.2570 10.6888 Å, 90.00 111.24 90.00°
With the nearest neighbours (Å) after each atom.
Sites, in units of the cell vectors:
K: 0.2293 0.2500 0.2507  7 Te 3.59-3.84
K: 0.7707 0.7500 0.7493  7 Te 3.59-3.84
Mg: 0.0871 0.2500 0.6184  4 Te 2.71-2.89
Mg: 0.9129 0.7500 0.3816  4 Te 2.71-2.89
Cr: 0.3267 0.7500 0.8611  5 Te 2.72-2.86
Cr: 0.6733 0.2500 0.1389  5 Te 2.72-2.86
Te: 0.1246 0.2500 0.8815  1 Mg 2.71, 2 Cr 2.86
Te: 0.2448 0.7500 0.5542  3 Mg 2.78-2.89, 1 Cr 3.09
Te: 0.4722 0.7500 0.1326  3 Cr 2.72-2.78
Te: 0.5278 0.2500 0.8674  3 Cr 2.72-2.78
Te: 0.7552 0.2500 0.4458  3 Mg 2.78-2.89, 1 Cr 3.09
Te: 0.8754 0.7500 0.1185  1 Mg 2.71, 2 Cr 2.86

Look up the total magnetic moment of the second one.
5.99 Bohr magnetons per cell

The highest total magnetic moment belongs to which entry?
KMgCrTe3